Compound: NdMgSnHg
Source: Alexandria
Functional: PBE
Structure: relaxed

Unit cell a=5.261 b=5.261 c=5.261 alpha=60.00 beta=60.00 gamma=60.00
Fractional coordinates of all 4 atoms:
Mg 0.500 0.500 0.500
Nd 0.000 0.000 0.000
Hg 0.750 0.750 0.750
Sn 0.250 0.250 0.250

Output
The calculation puts the relative energy among the computed polymorphs at 76.9 meV/atom. Its formation energy from the elements is -39.75 kJ per mole of atoms. For the total magnetization, the calculation gives 0.00 μB/f.u. The calculation puts the volume at 25.74 Å³ per atom.

***

Compound: Sr2NdMgHg6
Source: Alexandria
Functional: PBE
Structure: relaxed

Unit cell a=7.911 b=8.691 c=9.388 alpha=43.61 beta=55.30 gamma=84.92
Fractional coordinates of all 10 atoms:
Sr 0.272 0.684 0.543
Sr 0.728 0.316 0.457
Nd 0.500 0.500 0.000
Mg 0.000 0.000 0.000
Hg 0.225 0.703 0.178
Hg 0.750 0.837 0.940
Hg 0.260 0.959 0.675
Hg 0.775 0.297 0.822
Hg 0.250 0.163 0.060
Hg 0.740 0.041 0.325

Output
Its formation energy from the elements is -29.81 kJ per mole of atoms. For the total magnetization, the calculation gives 0.00 μB/f.u. The calculation puts the volume at 30.06 Å³ per atom.

***

Compound: Tb2NdMgHg4
Source: Alexandria
Functional: PBE
Structure: relaxed

Unit cell a=5.157 b=5.157 c=9.355 alpha=74.00 beta=74.00 gamma=60.00
Fractional coordinates of all 8 atoms:
Tb 0.757 0.757 0.729
Tb 0.243 0.243 0.271
Nd 0.000 0.000 0.000
Mg 0.500 0.500 0.500
Hg 0.379 0.379 0.862
Hg 0.874 0.874 0.378
Hg 0.126 0.126 0.622
Hg 0.621 0.621 0.138

Output
Its formation energy from the elements is -43.41 kJ per mole of atoms. For the total magnetization, the calculation gives 0.00 μB/f.u. The calculation puts the volume at 25.54 Å³ per atom.